[1]
Y2Fe2Au: relaxed, PBE.

The structure in POSCAR format:
```
Y2Fe2Au
1.0
6.950 0.000 0.000
0.000 6.950 0.000
0.000 0.000 4.056
Y Fe Au
4 4 2
Direct
0.181 0.319 0.000
0.319 0.819 0.000
0.681 0.181 0.000
0.819 0.681 0.000
0.111 0.611 0.500
0.389 0.111 0.500
0.611 0.889 0.500
0.889 0.389 0.500
0.000 0.000 0.500
0.500 0.500 0.500
```

The value obtained for the density is 8.25 g cm⁻³. The value obtained for the spin magnetization is 3.0 μB per formula unit. The value obtained for the formation energy is -208 meV/atom.



[2]
LiTeI2N: relaxed, PBE.

The structure in POSCAR format:
```
LiTeI2N
1.0
6.285 0.000 0.000
0.000 6.285 0.000
0.000 0.000 4.038
Li Te I N
1 1 2 1
Direct
0.000 0.000 0.000
0.500 0.500 0.500
0.000 0.500 0.500
0.500 0.000 0.500
0.500 0.500 0.000
```

The value obtained for the density is 4.19 g cm⁻³. The energy relative to the elements, uncorrected is 264 meV/atom. The value obtained for the energy above the lowest structure with this stoichiometry is 0 meV/atom. The value obtained for the spin magnetization is 0.0 μB per formula unit.



[3]
PmNd2AlO: relaxed, PBE.

The structure in POSCAR format:
```
PmNd2AlO
1.0
4.936 0.000 0.000
0.000 4.936 0.000
0.000 0.000 4.883
Pm Nd Al O
1 2 1 1
Direct
0.000 0.000 0.000
0.000 0.500 0.500
0.500 0.000 0.500
0.500 0.500 0.000
0.000 0.000 0.500
```

The value obtained for the density is 6.65 g cm⁻³. The energy relative to the elements, uncorrected is -1323 meV/atom. The value obtained for the spin magnetization is 0.0 μB per formula unit.



[4]
SrAlP2C: relaxed, PBE.

The structure in POSCAR format:
```
SrAlP2C
1.0
5.528 0.000 0.000
0.000 5.528 0.000
0.000 0.000 6.348
Sr Al P C
1 1 2 1
Direct
0.000 0.000 0.000
0.000 0.000 0.500
0.000 0.500 0.000
0.500 0.000 0.000
0.500 0.500 0.500
```

The value obtained for the density is 1.61 g cm⁻³. The value obtained for the spin magnetization is 1.3 μB per formula unit. The value obtained for the formation energy is 2510 meV/atom.